Entry w
A relaxed structure of CoSe2N2. Source: Alexandria, functional PBE-GGA.

Cell lengths 5.8930, 3.4007, 11.5053 Å; angles 90.00, 91.40, 90.00 degrees
Space group C2/m (No. 12)
Asymmetric unit:
Co 0.0000 0.0000 0.0000
Se 0.1723 0.5000 0.1165
N 0.0004 0.0000 0.4516

=====

Entry x
A relaxed structure of CoSe2N2. Source: Alexandria, functional PBE-GGA.

Cell lengths 3.6325, 3.6325, 6.5606 Å; angles 90.00, 90.00, 90.00 degrees
Space group P4/mmm (No. 123)
Asymmetric unit:
Co 0.0000 0.0000 0.0000
Se 0.5000 0.5000 0.0000
Se 0.5000 0.5000 0.5000
N 0.0000 0.5000 0.5000

=====

Entry y
A relaxed structure of CoSe2N2. Source: Alexandria, functional PBE-GGA.

Cell lengths 3.5661, 3.5661, 7.3314 Å; angles 90.00, 90.00, 90.00 degrees
Space group P4/mmm (No. 123)
Asymmetric unit:
Co 0.0000 0.0000 0.0000
Se 0.0000 0.0000 0.5000
Se 0.5000 0.5000 0.5000
N 0.0000 0.5000 0.0000

=====

Stability summary: most stable entry w, least stable entry x.

=====

Entry w
A relaxed structure of Co2SeN. Source: Alexandria, functional PBE-GGA.

Cell lengths 5.5918, 5.5918, 5.5918 Å; angles 90.00, 90.00, 90.00 degrees
Space group Fm-3m (No. 225)
Asymmetric unit:
Co 0.2500 0.2500 0.2500
Se 0.0000 0.0000 0.0000
N 0.0000 0.0000 0.5000

=====

Entry x
A relaxed structure of Co2SeN. Source: Alexandria, functional PBE-GGA.

Cell lengths 4.5542, 4.5542, 10.0891 Å; angles 90.00, 90.00, 90.00 degrees
Space group I-42d (No. 122)
Asymmetric unit:
Co 0.1497 0.2500 0.1250
Se 0.0000 0.0000 0.5000
N 0.0000 0.0000 0.0000

=====

Stability summary: most stable entry x, least stable entry w.

=====

Entry w
A relaxed structure of Co3SeN. Source: Alexandria, functional PBE-GGA.

Cell lengths 4.4277, 4.4277, 4.4277 Å; angles 90.00, 90.00, 90.00 degrees
Space group Pm-3m (No. 221)
Asymmetric unit:
Co 0.0000 0.0000 0.5000
Se 0.0000 0.0000 0.0000
N 0.5000 0.5000 0.5000

=====

Entry x
A relaxed structure of Co3SeN. Source: Alexandria, functional PBE-GGA.

Cell lengths 3.8360, 3.8360, 3.8360 Å; angles 90.00, 90.00, 90.00 degrees
Space group Pm-3m (No. 221)
Asymmetric unit:
Co 0.0000 0.0000 0.5000
Se 0.5000 0.5000 0.5000
N 0.0000 0.0000 0.0000

=====

Stability summary: most stable entry x, least stable entry w.

=====

Entry w
A relaxed structure of CoSiSe2N. Source: Alexandria, functional PBE-GGA.

Cell lengths 5.0816, 5.0816, 3.2415 Å; angles 90.00, 90.00, 90.00 degrees
Space group P4/mmm (No. 123)
Asymmetric unit:
Co 0.0000 0.0000 0.0000
Si 0.5000 0.5000 0.5000
Se 0.0000 0.5000 0.5000
N 0.5000 0.5000 0.0000

=====

Entry x
A relaxed structure of CoSiSe2N. Source: Alexandria, functional PBE-GGA.

Cell lengths 4.9306, 4.9306, 3.3842 Å; angles 90.00, 90.00, 90.00 degrees
Space group P4/mmm (No. 123)
Asymmetric unit:
Co 0.0000 0.0000 0.0000
Si 0.5000 0.5000 0.5000
Se 0.0000 0.5000 0.0000
N 0.0000 0.0000 0.5000

=====

Stability summary: most stable entry x, least stable entry w.